Here is crystalline InC2 at its relaxed geometry from the Alexandria database. Energies are from GGA-PBE.

Summary:
Crystal system: hexagonal
V (Å³/f.u.): 36.5
Magnetic moment (μB/f.u.): 0.0
DFT formation energy (eV per atom): 2.847
Energy relative to the lowest polymorph listed for this composition (eV/f.u.): 6.53

Structure (CIF):
```
data_InC2
_space_group_name_H-M_alt 'P 63/m m c'
_space_group_IT_number 194
_space_group_name_Hall '-P 6c 2c'
_cell_length_a 4.2189
_cell_length_b 4.2189
_cell_length_c 4.7348
_cell_angle_alpha 90.00
_cell_angle_beta 90.00
_cell_angle_gamma 120.00
loop_
_atom_site_label
_atom_site_type_symbol
_atom_site_fract_x
_atom_site_fract_y
_atom_site_fract_z
In1 In 0.3333 0.6667 0.2500
C1 C 0.0000 0.0000 0.0000
C2 C 0.3333 0.6667 0.7500
```